Entry 1:
Entry from the Alexandria database: a relaxed structure of Li2TcAu2 (PBE-GGA).

Output
Density of states at the Fermi level in states/eV/f.u.: 2.8
Total moment in μB/f.u.: 0.0
Volume in Å³/cell: 145
Calculated formation energy in eV per atom: -0.046

Cell: 7.282 7.282 2.729 Å, 90.00 90.00 90.00°
Space group P4/mbm (No. 127)
Asymmetric unit:
Li 0.118 0.382 0.000 (multiplicity 4)
Tc 0.000 0.000 0.000 (multiplicity 2)
Au 0.183 0.683 0.500 (multiplicity 4)

Entry 2:
Entry from the Alexandria database: a relaxed structure of Li2TcAu (PBE-GGA).

Output
Density of states at the Fermi level in states/eV/f.u.: 3.3
Total moment in μB/f.u.: 0.5
Volume in Å³/cell: 123
Calculated formation energy in eV per atom: 0.127

Cell: 9.628 2.626 4.896 Å, 90.00 97.75 90.00°
Space group Cm (No. 8)
Asymmetric unit:
Li 0.000 0.000 0.000 (multiplicity 2)
Li 0.238 0.000 0.799 (multiplicity 2)
Tc 0.253 0.500 0.311 (multiplicity 2)
Au 0.000 0.500 0.498 (multiplicity 2)

Entry 3:
Entry from the Alexandria database: a relaxed structure of Li2TcAu (PBE-GGA).

Output
Density of states at the Fermi level in states/eV/f.u.: 4.2
Total moment in μB/f.u.: 2.0
Volume in Å³/cell: 125
Calculated formation energy in eV per atom: 0.268

Cell: 3.849 3.849 8.424 Å, 90.00 90.00 90.00°
Space group I4/mmm (No. 139)
Asymmetric unit:
Li 0.000 0.500 0.250 (multiplicity 4)
Tc 0.000 0.000 0.000 (multiplicity 2)
Au 0.000 0.000 0.500 (multiplicity 2)